A | Density functional theory data (GGA-PBE) for Ce3TlRh after structural relaxation.

a b c (Å): 5.391 5.391 5.391
angles (deg): 90.00 90.00 90.00
Positions (direct):
Rh 0.000 0.000 0.000
Ce 0.000 0.000 0.500
Tl 0.500 0.500 0.500
Ce 0.000 0.500 0.000
Ce 0.500 0.000 0.000

## Properties
Space-group type ... No. 221


B | Density functional theory data (GGA-PBE) for Ce3TlRh after structural relaxation.

a b c (Å): 4.908 6.583 8.085
angles (deg): 88.45 107.67 90.00
Positions (direct):
Ce 0.614 0.416 0.227
Rh 0.217 0.379 0.435
Tl 0.592 0.906 0.184
Ce 0.225 0.827 0.449
Ce 0.965 0.753 0.930
Ce 0.035 0.247 0.070
Tl 0.408 0.094 0.816
Ce 0.386 0.584 0.773
Ce 0.775 0.173 0.551
Rh 0.783 0.621 0.565

## Properties
Space-group type ... No. 12


C | Density functional theory data (GGA-PBE) for Ce3TlRh after structural relaxation.

a b c (Å): 3.571 6.971 11.180
angles (deg): 90.00 90.00 75.14
Positions (direct):
Ce 0.342 0.317 0.774
Rh 0.000 0.000 0.750
Ce 0.658 0.684 0.726
Ce 0.342 0.317 0.226
Ce 0.024 0.950 0.000
Tl 0.744 0.511 0.000
Rh 0.000 0.000 0.250
Tl 0.256 0.489 0.500
Ce 0.658 0.684 0.274
Ce 0.976 0.050 0.500

## Properties
Space-group type ... No. 11


Most stable pick: B. Distance to second place: 7 meV per atom.


A | Density functional theory data (GGA-PBE) for CeTmTlRh after structural relaxation.

a b c (Å): 5.147 5.147 5.147
angles (deg): 60.00 60.00 60.00
Positions (direct):
Rh 0.000 0.000 0.000
Tl 0.500 0.500 0.500
Tm 0.750 0.750 0.750
Ce 0.250 0.250 0.250

## Properties
Space-group type ... No. 216


B | Density functional theory data (GGA-PBE) for CeTmTlRh after structural relaxation.

a b c (Å): 3.421 3.421 8.180
angles (deg): 90.00 90.00 90.00
Positions (direct):
Ce 0.500 0.500 0.781
Tl 0.000 0.000 0.080
Rh 0.000 0.000 0.560
Tm 0.500 0.500 0.364

## Properties
Space-group type ... No. 99


Most stable pick: B. Distance to second place: 178 meV per atom.


A | Density functional theory data (GGA-PBE) for CeTm2Rh after structural relaxation.

a b c (Å): 3.668 3.668 9.677
angles (deg): 79.08 79.08 60.00
Positions (direct):
Ce 0.500 0.500 0.500
Tm 0.273 0.273 0.180
Rh 0.000 0.000 0.000
Tm 0.727 0.727 0.820

## Properties
Space-group type ... No. 166


B | Density functional theory data (GGA-PBE) for CeTm2Rh after structural relaxation.

a b c (Å): 3.404 3.404 8.615
angles (deg): 90.00 90.00 90.00
Positions (direct):
Tm 0.000 0.000 0.809
Tm 0.000 0.000 0.191
Rh 0.500 0.500 0.000
Ce 0.500 0.500 0.500

## Properties
Space-group type ... No. 123


Most stable pick: B. Distance to second place: 143 meV per atom.


A | Density functional theory data (GGA-PBE) for Ce2TmRh after structural relaxation.

a b c (Å): 3.693 3.693 7.417
angles (deg): 90.00 90.00 90.00
Positions (direct):
Tm 0.500 0.500 0.500
Ce 0.000 0.000 0.196
Rh 0.500 0.500 0.000
Ce 0.000 0.000 0.804

## Properties
Space-group type ... No. 123


B | Density functional theory data (GGA-PBE) for Ce2TmRh after structural relaxation.

a b c (Å): 3.728 3.728 9.368
angles (deg): 78.52 78.52 60.00
Positions (direct):
Ce 0.268 0.268 0.195
Tm 0.500 0.500 0.500
Ce 0.732 0.732 0.805
Rh 0.000 0.000 0.000

## Properties
Space-group type ... No. 166


Most stable pick: A. Distance to second place: 36 meV per atom.


A | Density functional theory data (GGA-PBE) for CeURh4 after structural relaxation.

a b c (Å): 5.321 5.321 5.321
angles (deg): 60.00 60.00 60.00
Positions (direct):
Rh 0.625 0.126 0.625
Rh 0.126 0.625 0.625
Rh 0.625 0.625 0.126
Rh 0.625 0.625 0.625
Ce 0.000 0.000 0.000
U 0.250 0.250 0.250

## Properties
Space-group type ... No. 216


B | Density functional theory data (GGA-PBE) for CeURh4 after structural relaxation.

a b c (Å): 4.331 7.396 13.593
angles (deg): 90.00 90.00 90.00
Positions (direct):
Rh 0.750 0.975 0.609
Ce 0.750 0.750 0.046
U 0.750 0.750 0.767
Rh 0.750 0.000 0.250
Rh 0.250 0.000 0.750
Rh 0.250 0.975 0.109
U 0.250 0.250 0.233
Ce 0.750 0.250 0.454
Rh 0.750 0.025 0.891
Rh 0.250 0.475 0.391
Ce 0.250 0.750 0.546
U 0.250 0.750 0.267
U 0.750 0.250 0.733
Rh 0.250 0.525 0.109
Rh 0.250 0.250 0.586
Rh 0.750 0.475 0.891
Rh 0.250 0.750 0.914
Rh 0.750 0.500 0.250
Rh 0.750 0.525 0.609
Rh 0.250 0.500 0.750
Rh 0.750 0.250 0.086
Rh 0.250 0.025 0.391
Rh 0.750 0.750 0.414
Ce 0.250 0.250 0.954

## Properties
Space-group type ... No. 63


Most stable pick: B. Distance to second place: 57 meV per atom.


A | Density functional theory data (GGA-PBE) for CeVRh after structural relaxation.

a b c (Å): 4.328 3.461 8.362
angles (deg): 78.06 90.00 90.00
Positions (direct):
V 0.500 0.000 0.000
Rh 0.750 0.849 0.301
Ce 0.750 0.662 0.675
Rh 0.250 0.151 0.699
Ce 0.250 0.338 0.325
V 0.000 0.000 0.000

## Properties
Space-group type ... No. 63


B | Density functional theory data (GGA-PBE) for CeVRh after structural relaxation.

a b c (Å): 3.016 3.016 6.308
angles (deg): 103.83 103.83 90.00
Positions (direct):
Rh 0.304 0.304 0.609
V 0.692 0.692 0.385
Ce 0.003 0.003 0.007

## Properties
Space-group type ... No. 107


Most stable pick: B. Distance to second place: 235 meV per atom.


A | Density functional theory data (GGA-PBE) for Ce2ZnRh3 after structural relaxation.

a b c (Å): 5.130 5.130 5.130
angles (deg): 66.67 66.67 66.67
Positions (direct):
Rh 0.500 0.000 0.000
Ce 0.628 0.628 0.628
Rh 0.000 0.000 0.500
Zn 0.000 0.000 0.000
Rh 0.000 0.500 0.000
Ce 0.372 0.372 0.372

## Properties
Space-group type ... No. 166


B | Density functional theory data (GGA-PBE) for Ce2ZnRh3 after structural relaxation.

a b c (Å): 5.439 7.161 7.161
angles (deg): 63.01 89.98 89.98
Positions (direct):
Rh 0.750 0.557 0.443
Ce 0.754 0.163 0.539
Ce 0.746 0.461 0.837
Rh 0.250 0.443 0.557
Rh 0.504 0.179 0.169
Rh 0.996 0.831 0.821
Rh 0.004 0.169 0.179
Ce 0.254 0.539 0.163
Rh 0.496 0.821 0.831
Zn 0.750 0.903 0.097
Ce 0.246 0.837 0.461
Zn 0.250 0.097 0.903

## Properties
Space-group type ... No. 15


Most stable pick: A. Distance to second place: 147 meV per atom.


A | Density functional theory data (GGA-PBE) for Ce2ZnRh4 after structural relaxation.

a b c (Å): 6.089 6.089 5.722
angles (deg): 122.16 122.15 89.99
Positions (direct):
Ce 0.250 0.750 0.500
Rh 0.718 0.282 0.000
Rh 0.282 0.282 0.000
Rh 0.282 0.718 0.000
Zn 0.000 0.000 0.000
Ce 0.750 0.250 0.500
Rh 0.718 0.718 0.000

## Properties
Space-group type ... No. 139


B | Density functional theory data (GGA-PBE) for Ce2ZnRh4 after structural relaxation.

a b c (Å): 4.015 4.015 9.199
angles (deg): 102.60 102.60 90.00
Positions (direct):
Rh 0.141 0.141 0.282
Rh 0.750 0.250 0.500
Ce 0.373 0.373 0.746
Zn 0.000 0.000 0.000
Ce 0.627 0.627 0.254
Rh 0.859 0.859 0.718
Rh 0.250 0.750 0.500

## Properties
Space-group type ... No. 139


Most stable pick: B. Distance to second place: 58 meV per atom.


A | Density functional theory data (GGA-PBE) for CeZr2Rh after structural relaxation.

a b c (Å): 5.942 6.544 9.435
angles (deg): 90.00 90.00 90.00
Positions (direct):
Zr 0.853 0.308 0.947
Zr 0.853 0.308 0.553
Ce 0.850 0.032 0.250
Ce 0.650 0.532 0.250
Rh 0.412 0.885 0.250
Rh 0.588 0.115 0.750
Zr 0.647 0.808 0.947
Zr 0.647 0.808 0.553
Zr 0.353 0.192 0.053
Zr 0.147 0.692 0.447
Zr 0.147 0.692 0.053
Ce 0.350 0.468 0.750
Rh 0.088 0.385 0.250
Zr 0.353 0.192 0.447
Rh 0.912 0.615 0.750
Ce 0.150 0.968 0.750

## Properties
Space-group type ... No. 62


B | Density functional theory data (GGA-PBE) for CeZr2Rh after structural relaxation.

a b c (Å): 3.332 3.332 7.784
angles (deg): 90.00 90.00 90.00
Positions (direct):
Ce 0.500 0.500 0.500
Zr 0.000 0.000 0.793
Rh 0.500 0.500 0.000
Zr 0.000 0.000 0.207

## Properties
Space-group type ... No. 123


C | Density functional theory data (GGA-PBE) for CeZr2Rh after structural relaxation.

a b c (Å): 4.365 4.365 6.457
angles (deg): 70.24 70.24 60.00
Positions (direct):
Zr 0.056 0.056 0.833
Ce 0.492 0.492 0.525
Zr 0.277 0.277 0.169
Rh 0.676 0.676 0.972

## Properties
Space-group type ... No. 160


Most stable pick: A. Distance to second place: 14 meV per atom.


A | Density functional theory data (GGA-PBE) for CeZrRh after structural relaxation.

a b c (Å): 3.774 4.504 4.504
angles (deg): 120.00 90.00 90.00
Positions (direct):
Ce 0.684 0.667 0.333
Zr 0.261 0.333 0.667
Rh 0.055 0.000 0.000

## Properties
Space-group type ... No. 156


B | Density functional theory data (GGA-PBE) for CeZrRh after structural relaxation.

a b c (Å): 3.408 3.408 6.108
angles (deg): 106.20 106.20 90.00
Positions (direct):
Zr 0.309 0.309 0.618
Rh 0.676 0.676 0.352
Ce 0.015 0.015 0.030

## Properties
Space-group type ... No. 107


Most stable pick: B. Distance to second place: 139 meV per atom.


A | Density functional theory data (GGA-PBE) for Ce5Ru4 after structural relaxation.

a b c (Å): 5.545 6.832 6.832
angles (deg): 80.52 66.06 66.06
Positions (direct):
Ce 0.693 0.208 0.406
Ce 0.901 0.406 0.792
Ru 0.788 0.818 0.605
Ru 0.607 0.605 0.182
Ce 0.307 0.792 0.594
Ce 0.099 0.594 0.208
Ru 0.212 0.182 0.395
Ru 0.394 0.395 0.818
Ce 0.500 0.000 0.000

## Properties
Space-group type ... No. 87


B | Density functional theory data (GGA-PBE) for Ce5Ru4 after structural relaxation.

a b c (Å): 3.832 6.090 9.541
angles (deg): 74.30 78.41 71.66
Positions (direct):
Ru 0.368 0.651 0.613
Ru 0.490 0.204 0.816
Ce 0.771 0.640 0.817
Ru 0.510 0.796 0.184
Ce 0.000 0.000 0.000
Ce 0.229 0.360 0.183
Ce 0.107 0.187 0.600
Ru 0.632 0.349 0.387
Ce 0.893 0.813 0.400

## Properties
Space-group type ... No. 12


Most stable pick: B. Distance to second place: 86 meV per atom.